(1)
The following is a DFT calculation (PBE) of a geometry-optimized ZrV2Tc structure. Values from VASP.

Uncorrected energy: -0.65541 Ry per atom
Density of states at the Fermi level: 1.120 states/eV per atom
Total magnetic moment: 0.000 μB per atom
Polymorph energy (0 for the lowest one): 471 meV/atom

Structure (Quantum ESPRESSO input):
```
&SYSTEM
  ibrav = 0, nat = 8, ntyp = 3
/
ATOMIC_SPECIES
Tc 98.00 Tc.upf
V 50.94 V.upf
Zr 91.22 Zr.upf
CELL_PARAMETERS angstrom
7.069 0.000 0.000
0.000 7.069 0.000
3.534 3.534 2.735
ATOMIC_POSITIONS angstrom
Tc 7.069 3.534 1.368
Tc 0.000 0.000 0.000
V 5.571 1.767 0.684
Zr 3.534 3.534 0.000
V 5.302 5.032 2.052
V 8.836 9.106 2.052
V 1.498 5.302 0.684
Zr 3.534 7.069 1.368
```

(2)
The following is a DFT calculation (PBE) of a geometry-optimized P2AuBr structure. Values from VASP.

Uncorrected energy: -0.26040 Ry per atom
ΔE_f (raw): 400 meV/atom
Density of states at the Fermi level: 0.356 states/eV per atom
Total magnetic moment: 0.000 μB per atom
Polymorph energy (0 for the lowest one): 288 meV/atom

Structure (Quantum ESPRESSO input):
```
&SYSTEM
  ibrav = 0, nat = 4, ntyp = 3
/
ATOMIC_SPECIES
P 30.97 P.upf
Au 196.97 Au.upf
Br 79.90 Br.upf
CELL_PARAMETERS angstrom
3.690 0.000 0.000
0.000 3.690 0.000
0.000 0.000 6.321
ATOMIC_POSITIONS angstrom
P 0.000 0.000 2.615
Au 1.845 1.845 1.580
Br 1.845 1.845 4.740
P 0.000 0.000 0.545
```

(3)
The following is a DFT calculation (PBE) of a geometry-optimized TaGa2SnF structure. Values from VASP.

Uncorrected energy: -0.34786 Ry per atom
ΔE_f (raw): 23 meV/atom
Density of states at the Fermi level: 0.502 states/eV per atom
Total magnetic moment: 0.003 μB per atom

Structure (Quantum ESPRESSO input):
```
&SYSTEM
  ibrav = 0, nat = 5, ntyp = 4
/
ATOMIC_SPECIES
Ta 180.95 Ta.upf
Ga 69.72 Ga.upf
Sn 118.71 Sn.upf
F 19.00 F.upf
CELL_PARAMETERS angstrom
-3.136 -1.728 -3.230
1.845 -3.714 0.195
-2.970 -1.288 3.573
ATOMIC_POSITIONS angstrom
Ta 0.923 -1.857 0.097
Ga -1.568 -0.864 -1.615
Sn -2.130 -3.365 0.269
Ga -1.485 -0.644 1.786
F 0.000 0.000 0.000
```

(4)
The following is a DFT calculation (PBE) of a geometry-optimized Pr2Zn15Cd2 structure. Values from VASP.

Uncorrected energy: -0.13536 Ry per atom
Density of states at the Fermi level: 0.171 states/eV per atom
Total magnetic moment: 0.000 μB per atom

Structure (Quantum ESPRESSO input):
```
&SYSTEM
  ibrav = 0, nat = 19, ntyp = 3
/
ATOMIC_SPECIES
Zn 65.41 Zn.upf
Cd 112.41 Cd.upf
Pr 140.91 Pr.upf
CELL_PARAMETERS angstrom
6.957 -0.017 -0.015
0.886 6.900 -0.015
0.886 0.778 6.856
ATOMIC_POSITIONS angstrom
Zn 2.695 4.840 -0.015
Zn 3.505 6.025 2.400
Zn 2.301 4.968 4.427
Zn 0.443 3.450 -0.007
Zn 3.478 -0.008 -0.007
Zn 0.886 5.076 2.032
Cd 7.820 6.863 6.116
Zn 5.224 4.585 1.117
Pr 5.753 5.049 4.499
Cd 0.909 0.798 0.711
Zn 0.443 0.389 3.428
Zn 3.505 3.076 5.709
Pr 2.976 2.612 2.327
Zn 2.695 0.541 4.809
Zn 0.886 2.602 4.809
Zn 5.148 0.220 2.032
Zn 5.224 1.637 4.427
Zn 6.428 2.693 2.400
Zn 5.148 2.044 -0.015
```